This record from Alexandria describes CdFeHg2O after structural relaxation. The functional is GGA+U.

Cell and atoms, written as CIF:
```
data_CdFeHg2O
_cell_length_a 5.467
_cell_length_b 5.231
_cell_length_c 5.467
_cell_angle_alpha 90.00
_cell_angle_beta 90.00
_cell_angle_gamma 90.00
_symmetry_space_group_name_H-M 'P 1'
_symmetry_Int_Tables_number 1
_symmetry_space_group_name_Hall 'P 1'
loop_
_atom_site_label
_atom_site_type_symbol
_atom_site_fract_x
_atom_site_fract_y
_atom_site_fract_z
_atom_site_occupancy
Fe1 Fe 0.000 0.500 0.000 1
Hg1 Hg 0.000 0.000 0.500 1
Hg2 Hg 0.500 0.000 0.000 1
O1 O 0.500 0.500 0.500 1
Cd1 Cd 0.000 0.000 0.000 1
```

Properties
For the total moment, the calculation gives 4.63 μB per formula unit. Its density of states at the Fermi level is 7.21 states/eV/cell. For the calculated density, the calculation gives 6.22 g/cm3. The value obtained for the raw total energy is -1.374 eV/atom.